No. 1
5
Lattice="4.4682 0.0000 0.0000 0.0000 4.4682 0.0000 0.0000 0.0000 4.4682" Properties=species:S:1:pos:R:3 comment="ZnMo3Ir, relaxed, DFT GGA-PBE" spacegroup="Pm-3m (221)" mass_density_g_cm3=10.2 de_polymorph_ev_per_fu=0.48 formation_energy_kj_per_mol_fu=813 total_magnetization_mub_per_cell=0.000 dft_energy_ev_per_atom=-6.840 pbc="T T T"
Ir 2.2341 2.2341 2.2341
Mo 0.0000 2.2341 0.0000
Mo 2.2341 0.0000 0.0000
Mo 0.0000 0.0000 2.2341
Zn 0.0000 0.0000 0.0000

---

No. 2
4
Lattice="-0.6788 3.1838 -1.1848 -2.4810 0.4939 2.7486 2.8195 1.4511 2.2843" Properties=species:S:1:pos:R:3 comment="BeCu2Ag, relaxed, DFT GGA-PBE" spacegroup="Pmmm (47)" mass_density_g_cm3=8.0 formation_energy_kj_per_mol_fu=55 total_magnetization_mub_per_cell=0.000 dft_energy_ev_per_atom=-3.551 pbc="T T T"
Cu -1.5799 1.8388 0.7819
Cu 0.0000 0.0000 0.0000
Ag 1.0703 2.3175 0.5497
Be 0.1692 0.9725 2.5164

---

No. 3
5
Lattice="-1.3317 2.5361 4.8260 2.4662 -4.1502 2.8615 7.0274 2.9129 3.6715" Properties=species:S:1:pos:R:3 comment="Rb2TlCd2, relaxed, DFT GGA-PBE" spacegroup="I4/mmm (139)" mass_density_g_cm3=4.2 de_polymorph_ev_per_fu=1.38 formation_energy_kj_per_mol_fu=104 total_magnetization_mub_per_cell=0.000 dft_energy_ev_per_atom=-1.010 pbc="T T T"
Cd 6.3819 1.4075 7.5475
Cd 1.7800 -0.1087 3.8114
Rb 3.1315 2.3210 6.1706
Rb 5.0304 -1.0222 5.1884
Tl 0.0000 0.0000 0.0000